1.
Pr3In3Hg2Ru | PBE | relaxed

The value obtained for the formation energy is -429 meV per atom.

Unit cell a=7.8437 b=7.8437 c=4.3662 alpha=90.00 beta=90.00 gamma=120.00
Space group P-62m (No. 189)
Unique sites:
Pr1 0.0000 0.3888 0.0000 x3
In1 0.0000 0.7627 0.5000 x3
Hg1 0.3333 0.6667 0.5000 x2
Ru1 0.0000 0.0000 0.0000 x1


2.
CdOs3 | PBE | relaxed

The value obtained for the formation energy is 727 meV per atom.

Unit cell a=5.517 b=8.119 c=2.763 alpha=90.00 beta=90.00 gamma=90.00
Space group Cmmm (No. 65)
Unique sites:
Cd1 0.000 0.000 0.000 x2
Os1 0.000 0.500 0.000 x2
Os2 0.250 0.250 0.500 x4


3.
Ac2AlSi4Au3 | PBE | relaxed

The value obtained for the energy relative to the elements, uncorrected is -53.56 kJ per mole of atoms.

Unit cell a=4.502 b=4.502 c=10.307 alpha=90.00 beta=90.00 gamma=90.00
Space group P-4m2 (No. 115)
Unique sites:
Ac1 0.000 0.500 0.245 x2
Al1 0.000 0.000 0.500 x1
Si1 0.000 0.000 0.000 x1
Si2 0.000 0.500 0.632 x2
Si3 0.500 0.500 0.000 x1
Au1 0.000 0.500 0.877 x2
Au2 0.500 0.500 0.500 x1


4.
ThInTc | PBE | relaxed

The value obtained for the formation energy is -27 meV per atom.

Unit cell a=3.421 b=3.421 c=11.945 alpha=90.00 beta=90.00 gamma=90.00
Space group I4mm (No. 107)
Unique sites:
Th1 0.000 0.000 0.000 x2
In1 0.000 0.000 0.725 x2
Tc1 0.000 0.000 0.357 x2


5.
BaAs12Ru4 | PBE | relaxed

The value obtained for the formation energy is -426 meV per atom.

Unit cell a=8.654 b=8.654 c=8.654 alpha=90.00 beta=90.00 gamma=90.00
Space group Im-3 (No. 204)
Unique sites:
Ba1 0.000 0.000 0.000 x2
As1 0.000 0.152 0.353 x24
Ru1 0.250 0.250 0.250 x8


6.
VSbRuI2 | PBE | relaxed

The value obtained for the energy relative to the elements, uncorrected is 109.90 kJ per mole of atoms.

Unit cell a=5.468 b=5.468 c=4.993 alpha=90.00 beta=90.00 gamma=90.00
Space group P4/mmm (No. 123)
Unique sites:
V1 0.000 0.000 0.000 x1
Sb1 0.500 0.500 0.000 x1
Ru1 0.500 0.500 0.500 x1
I1 0.000 0.500 0.500 x2


7.
Ba2SiI | PBE | relaxed

The value obtained for the energy relative to the elements, uncorrected is -50.53 kJ per mole of atoms.

Unit cell a=7.776 b=7.776 c=15.327 alpha=90.00 beta=90.00 gamma=90.00
Space group I-42d (No. 122)
Unique sites:
Ba1 0.204 0.250 0.125 x8
Si1 0.000 0.000 0.000 x4
I1 0.000 0.000 0.500 x4


8.
Tm2CoCu | PBE | relaxed

The value obtained for the formation energy is -247 meV per atom.

Unit cell a=6.699 b=6.699 c=6.699 alpha=90.00 beta=90.00 gamma=90.00
Space group Fm-3m (No. 225)
Unique sites:
Tm1 0.250 0.250 0.250 x8
Co1 0.000 0.000 0.000 x4
Cu1 0.000 0.000 0.500 x4


9.
LiThSi2Ni2 | PBE | relaxed

The value obtained for the energy relative to the elements, uncorrected is -64.35 kJ per mole of atoms.

Unit cell a=4.0032 b=4.0032 c=6.7669 alpha=90.00 beta=90.00 gamma=120.00
Space group P-3m1 (No. 164)
Unique sites:
Li1 0.0000 0.0000 0.0000 x1
Th1 0.0000 0.0000 0.5000 x1
Si1 0.3333 0.6667 0.7953 x2
Ni1 0.3333 0.6667 0.1401 x2


10.
RbMnB2 | PBE | relaxed

The value obtained for the formation energy is 757 meV per atom.

Unit cell a=6.160 b=6.160 c=8.703 alpha=90.00 beta=90.00 gamma=90.00
Space group I-42d (No. 122)
Unique sites:
Rb1 0.000 0.000 0.000 x4
Mn1 0.000 0.000 0.500 x4
B1 0.001 0.750 0.625 x8


11.
Pt2AuSe | PBE | relaxed

The value obtained for the energy relative to the elements, uncorrected is 14.00 kJ per mole of atoms.

Unit cell a=3.089 b=3.089 c=7.119 alpha=90.00 beta=90.00 gamma=90.00
Space group P4/mmm (No. 123)
Unique sites:
Pt1 0.000 0.000 0.235 x2
Au1 0.500 0.500 0.500 x1
Se1 0.500 0.500 0.000 x1


12.
Y2Ho4Cd | PBE | relaxed

The value obtained for the formation energy is 48 meV per atom.

Unit cell a=16.468 b=3.478 c=8.464 alpha=90.00 beta=117.52 gamma=90.00
Space group C2/m (No. 12)
Unique sites:
Y1 0.217 0.000 0.142 x4
Ho1 0.081 0.000 0.702 x4
Ho2 0.130 0.500 0.394 x4
Cd1 0.000 0.000 0.000 x2


13.
LaTb12Ho5 | PBE | relaxed

The value obtained for the formation energy is 20 meV per atom.

Unit cell a=15.112 b=15.118 c=5.036 alpha=90.00 beta=90.00 gamma=90.00
Space group Cmmm (No. 65)
Unique sites:
La1 0.000 0.000 0.000 x2
Tb1 0.166 0.334 0.500 x8
Tb2 0.166 0.500 0.000 x4
Tb3 0.168 0.168 0.000 x8
Tb4 0.169 0.000 0.500 x4
Ho1 0.000 0.169 0.500 x4
Ho2 0.000 0.334 0.000 x4
Ho3 0.000 0.500 0.500 x2


| no. | total DFT energy (no corrections) (eV per cell) |
| --- | --- |
| 1 | -36.29 |
| 2 | -63.39 |
| 3 | -49.03 |
| 4 | -41.21 |
| 5 | -204.13 |
| 6 | -19.92 |
| 7 | -51.65 |
| 8 | -84.53 |
| 9 | -35.74 |
| 10 | -81.86 |
| 11 | -18.26 |
| 12 | -63.63 |
| 13 | -166.02 |